1.
# La5Ru4 PBE optimized geometry
# energy relative to the lowest polymorph listed for this composition	0	meV per atom
# space-group type	P6_3/mcm, No. 193
# final energy	-6.94	eV/atom
# energy of formation	-0.08	eV/atom
# ρ	8.15	Mg/m³
# total magnetization	0.0	μB per cell
data_La5Ru4
_chemical_formula_sum 'La10 Ru8'
_cell_length_a 8.979
_cell_length_b 8.979
_cell_length_c 6.410
_cell_angle_alpha 90.00
_cell_angle_beta 90.00
_cell_angle_gamma 120.00
_space_group_name_H-M_alt 'P 1'
_space_group_IT_number 1
_space_group_name_Hall 'P 1'
loop_
_atom_site_label
_atom_site_type_symbol
_atom_site_fract_x
_atom_site_fract_y
_atom_site_fract_z
La1 La 0.000 0.260 0.250
La2 La 0.000 0.740 0.750
La3 La 0.260 0.000 0.250
La4 La 0.260 0.260 0.750
La5 La 0.333 0.667 0.000
La6 La 0.333 0.667 0.500
La7 La 0.667 0.333 0.000
La8 La 0.667 0.333 0.500
La9 La 0.740 0.000 0.750
La10 La 0.740 0.740 0.250
Ru1 Ru 0.000 0.000 0.000
Ru2 Ru 0.000 0.000 0.500
Ru3 Ru 0.000 0.454 0.750
Ru4 Ru 0.000 0.546 0.250
Ru5 Ru 0.454 0.000 0.750
Ru6 Ru 0.454 0.454 0.250
Ru7 Ru 0.546 0.000 0.250
Ru8 Ru 0.546 0.546 0.750


2.
# Ac2RhSe PBE optimized geometry
# energy relative to the lowest polymorph listed for this composition	60	meV per atom
# space-group type	R3m, No. 160
# uncorrected formation energy	-4.8	eV/f.u.
# final energy	-5.96	eV/atom
# ρ	8.42	Mg/m³
# total magnetization	0.0	μB per cell
data_Ac2RhSe
_chemical_formula_sum 'Ac2 Rh1 Se1'
_cell_length_a 8.227
_cell_length_b 8.227
_cell_length_c 8.227
_cell_angle_alpha 30.26
_cell_angle_beta 30.26
_cell_angle_gamma 30.26
_space_group_name_H-M_alt 'P 1'
_space_group_IT_number 1
_space_group_name_Hall 'P 1'
loop_
_atom_site_label
_atom_site_type_symbol
_atom_site_fract_x
_atom_site_fract_y
_atom_site_fract_z
Ac1 Ac 0.000 0.000 0.000
Ac2 Ac 0.186 0.186 0.186
Rh1 Rh 0.592 0.592 0.592
Se1 Se 0.760 0.760 0.760


3.
# FeIrAu2 PBE optimized geometry
# energy relative to the lowest polymorph listed for this composition	250	meV per atom
# space-group type	Cmmm, No. 65
# final energy	-5.60	eV/atom
# energy of formation	0.37	eV/atom
# ρ	16.63	Mg/m³
# total magnetization	3.3	μB per cell
data_FeIrAu2
_chemical_formula_sum 'Fe1 Ir1 Au2'
_cell_length_a 2.762
_cell_length_b 2.762
_cell_length_c 9.529
_cell_angle_alpha 90.00
_cell_angle_beta 90.00
_cell_angle_gamma 118.09
_space_group_name_H-M_alt 'P 1'
_space_group_IT_number 1
_space_group_name_Hall 'P 1'
loop_
_atom_site_label
_atom_site_type_symbol
_atom_site_fract_x
_atom_site_fract_y
_atom_site_fract_z
Fe1 Fe 0.000 0.000 0.000
Ir1 Ir 0.000 0.000 0.500
Au1 Au 0.500 0.500 0.240
Au2 Au 0.500 0.500 0.760


- The highest ρ belongs to which entry?
  FeIrAu2


- Look up the ρ of the third one.
  16.63 Mg/m³


- Which of these has the highest final energy?
  FeIrAu2


- What is the total magnetization in the second record?
  0.0 μB per cell